[1]
Compound: AcPaIr
Source: Alexandria via LeMat-Bulk
Functional: PBE-GGA
Structure: relaxed

Cell lengths 23.7475, 3.9434, 3.8737 Å; angles 90.00, 90.00, 90.00 degrees
Space group Pnma (No. 62)
One atom of each set of equivalent atoms:
Ac 0.0632 0.2500 0.2491 [4 per cell]
Pa 0.1952 0.7500 0.2473 [4 per cell]
Ir 0.1830 0.2500 0.7473 [4 per cell]

Results
**Density of states at the Fermi level**: 1.3455 states/eV/atom
**Calculated volume**: 30.23 Å³ per atom
**E_form**: -50 kJ/mol of atoms
**Distance to the lowest polymorph of the same formula**: 0.0 meV per atom

[2]
Compound: AcPa2Ir
Source: Alexandria via LeMat-Bulk
Functional: PBE-GGA
Structure: relaxed

Cell lengths 3.6853, 3.6853, 31.0870 Å; angles 90.00, 90.00, 120.00 degrees
Space group R-3m (No. 166, hexagonal axes)
One atom of each set of equivalent atoms:
Ac 0.0000 0.0000 0.0000 [3 per cell]
Pa 0.0000 0.0000 0.1095 [6 per cell]
Ir 0.0000 0.0000 0.5000 [3 per cell]

Results
**Density of states at the Fermi level**: 2.1199 states/eV/atom
**Calculated volume**: 30.47 Å³ per atom
**E_form**: 8 kJ/mol of atoms

[3]
Compound: Ac3PaIr3
Source: Alexandria via LeMat-Bulk
Functional: PBE-GGA
Structure: relaxed

Cell lengths 11.9368, 11.9368, 11.9368 Å; angles 90.00, 90.00, 90.00 degrees
Space group I4_132 (No. 214)
One atom of each set of equivalent atoms:
Ac 0.1182 0.3750 0.3682 [24 per cell]
Pa 0.1250 0.1250 0.1250 [8 per cell]
Ir 0.1131 0.3631 0.1250 [24 per cell]

Results
**Density of states at the Fermi level**: 0.4851 states/eV/atom
**Calculated volume**: 30.37 Å³ per atom
**E_form**: -65 kJ/mol of atoms

[4]
Compound: AcPaIr
Source: Alexandria via LeMat-Bulk
Functional: PBE-GGA
Structure: relaxed

Cell lengths 4.5711, 4.5711, 5.0286 Å; angles 90.00, 90.00, 120.00 degrees
Space group P-6m2 (No. 187)
One atom of each set of equivalent atoms:
Ac 0.0000 0.0000 0.0000 [1 per cell]
Pa 0.6667 0.3333 0.5000 [1 per cell]
Ir 0.3333 0.6667 0.5000 [1 per cell]

Results
**Density of states at the Fermi level**: 1.4198 states/eV/atom
**Calculated volume**: 30.33 Å³ per atom
**E_form**: -25 kJ/mol of atoms
**Distance to the lowest polymorph of the same formula**: 261.5 meV per atom

[5]
Compound: AcPaIr
Source: Alexandria via LeMat-Bulk
Functional: PBE-GGA
Structure: relaxed

Cell lengths 7.7997, 4.5041, 10.9230 Å; angles 90.00, 90.04, 90.00 degrees
Space group C2/m (No. 12)
One atom of each set of equivalent atoms:
Ac 0.1666 0.0000 0.1852 [4 per cell]
Pa 0.1671 0.0000 0.5619 [4 per cell]
Ir 0.0001 0.5000 0.3461 [4 per cell]

Results
**Density of states at the Fermi level**: 1.6475 states/eV/atom
**Calculated volume**: 31.98 Å³ per atom
**E_form**: -46 kJ/mol of atoms
**Distance to the lowest polymorph of the same formula**: 48.9 meV per atom

[6]
Compound: AcPaIrPd
Source: Alexandria via LeMat-Bulk
Functional: PBE-GGA
Structure: relaxed

Cell lengths 7.2248, 7.2248, 7.2248 Å; angles 90.00, 90.00, 90.00 degrees
Space group F-43m (No. 216)
One atom of each set of equivalent atoms:
Ac 0.0000 0.0000 0.0000 [4 per cell]
Pa 0.0000 0.0000 0.5000 [4 per cell]
Ir 0.2500 0.2500 0.7500 [4 per cell]
Pd 0.2500 0.2500 0.2500 [4 per cell]

Results
**Density of states at the Fermi level**: 1.7461 states/eV/atom
**Calculated volume**: 23.57 Å³ per atom
**E_form**: -39 kJ/mol of atoms

[7]
Compound: Ac2PaSb3Ir4
Source: Alexandria via LeMat-Bulk
Functional: PBE-GGA
Structure: relaxed

Cell lengths 4.5740, 4.5740, 11.3259 Å; angles 90.00, 90.00, 90.00 degrees
Space group P-4m2 (No. 115)
One atom of each set of equivalent atoms:
Ac 0.0000 0.5000 0.2282 [2 per cell]
Pa 0.0000 0.0000 0.5000 [1 per cell]
Sb 0.0000 0.5000 0.8726 [2 per cell]
Sb 0.5000 0.5000 0.5000 [1 per cell]
Ir 0.0000 0.0000 0.0000 [1 per cell]
Ir 0.0000 0.5000 0.6365 [2 per cell]
Ir 0.5000 0.5000 0.0000 [1 per cell]

Results
**Density of states at the Fermi level**: 0.9810 states/eV/atom
**Calculated volume**: 23.70 Å³ per atom
**Uncorrected formation energy**: -0.666 eV/atom

[8]
Compound: Ac2PaSi3Ir4
Source: Alexandria via LeMat-Bulk
Functional: PBE-GGA
Structure: relaxed

Cell lengths 4.3085, 4.3085, 10.9108 Å; angles 90.00, 90.00, 90.00 degrees
Space group P-4m2 (No. 115)
One atom of each set of equivalent atoms:
Ac 0.0000 0.5000 0.2333 [2 per cell]
Pa 0.0000 0.0000 0.5000 [1 per cell]
Si 0.0000 0.5000 0.8832 [2 per cell]
Si 0.5000 0.5000 0.5000 [1 per cell]
Ir 0.0000 0.0000 0.0000 [1 per cell]
Ir 0.0000 0.5000 0.6525 [2 per cell]
Ir 0.5000 0.5000 0.0000 [1 per cell]

Results
**Density of states at the Fermi level**: 0.5789 states/eV/atom
**Calculated volume**: 20.25 Å³ per atom
**Uncorrected formation energy**: -0.866 eV/atom